*i*
Here is HoCdGa2 after structural relaxation from Alexandria via LeMat-Bulk. Energies are from PBE-GGA.

Calculated values
N(E_F) = 0.34 states/eV/atom

```
data_HoCdGa2
_chemical_formula_sum 'Ho3 Cd3 Ga6'
_space_group_name_H-M_alt 'R -3 m'
_space_group_IT_number 166
_space_group_name_Hall '-R 3 2"'
_cell_length_a 4.4652
_cell_length_b 4.4652
_cell_length_c 15.0021
_cell_angle_alpha 90.00
_cell_angle_beta 90.00
_cell_angle_gamma 120.00
loop_
_atom_site_label
_atom_site_type_symbol
_atom_site_fract_x
_atom_site_fract_y
_atom_site_fract_z
Ho1 Ho 0.0000 0.0000 0.0000
Cd1 Cd 0.0000 0.0000 0.5000
Ga1 Ga 0.0000 0.0000 0.2307
```

*ii*
Here is HoCdGa2 after structural relaxation from Alexandria via LeMat-Bulk. Energies are from PBE-GGA.

Calculated values
N(E_F) = 0.40 states/eV/atom

```
data_HoCdGa2
_chemical_formula_sum 'Ho4 Cd4 Ga8'
_space_group_name_H-M_alt 'P n m a'
_space_group_IT_number 62
_cell_length_a 7.759
_cell_length_b 4.162
_cell_length_c 10.557
_cell_angle_alpha 90.00
_cell_angle_beta 90.00
_cell_angle_gamma 90.00
loop_
_space_group_symop_operation_xyz
'x,y,z'
'-x,-y,-z'
'-x+1/2,-y,z+1/2'
'x+1/2,y,-z+1/2'
'x+1/2,-y+1/2,-z+1/2'
'-x+1/2,y+1/2,z+1/2'
'-x,y+1/2,-z'
'x,-y+1/2,z'
loop_
_atom_site_label
_atom_site_type_symbol
_atom_site_fract_x
_atom_site_fract_y
_atom_site_fract_z
Ho1 Ho 0.142 0.250 0.139
Cd1 Cd 0.007 0.750 0.390
Ga1 Ga 0.140 0.250 0.834
Ga2 Ga 0.237 0.750 0.944
```

*iii*
Here is HoCdGa2 after structural relaxation from Alexandria via LeMat-Bulk. Energies are from PBE-GGA.

Calculated values
N(E_F) = 0.53 states/eV/atom

```
data_HoCdGa2
_chemical_formula_sum 'Ho1 Cd1 Ga2'
_space_group_name_H-M_alt 'P 4/m m m'
_space_group_IT_number 123
_space_group_name_Hall '-P 4 2'
_cell_length_a 4.414
_cell_length_b 4.414
_cell_length_c 4.237
_cell_angle_alpha 90.00
_cell_angle_beta 90.00
_cell_angle_gamma 90.00
loop_
_atom_site_label
_atom_site_type_symbol
_atom_site_fract_x
_atom_site_fract_y
_atom_site_fract_z
Ho1 Ho 0.000 0.000 0.000
Cd1 Cd 0.500 0.500 0.000
Ga1 Ga 0.000 0.500 0.500
```

*iii* has the most favorable energy; the next structure is 1.5 kJ/mol of atoms above.